ZrAgHg after structural relaxation, computed with PBE-GGA.

Structure (POSCAR):
```
ZrAgHg
1.0
4.842 0.000 0.000
-2.421 4.193 0.000
0.000 0.000 2.982
Zr Ag Hg
1 1 1
Cartesian
0.000 0.000 0.000
2.421 1.398 1.491
0.000 2.795 1.491
```

Output
energy of formation = -0.29 eV/f.u.
final energy = -12.00 eV per cell
SG = P-6m2